Record 1
## ZnHg2Pt (PBEsol)

Data for a relaxed structure of ZnHg2Pt.

```
ZnHg2Pt
1.0
-1.6803 2.2892 -0.9193
-2.2939 -1.0408 1.6012
2.3963 4.2458 6.1928
Hg Zn Pt
2 1 1
Cartesian
1.7981 3.1858 4.6468 Hg
0.5982 1.0600 1.5460 Hg
-0.7890 2.7471 3.4374 Zn
-1.9871 0.6242 0.3410 Pt
```

Space group: P4/mmm

---

Record 2
## ZrHg2Pt (PBEsol)

Data for a relaxed structure of ZrHg2Pt.

```
ZrHg2Pt
1.0
-3.7260 -1.9604 1.6134
3.1005 -2.7921 -2.5324
2.5387 -2.9204 2.3142
Zr Pt Hg
1 1 2
Cartesian
0.0000 0.0000 0.0000 Zr
1.2534 -2.6163 -0.2843 Pt
-0.5937 -2.4404 1.9638 Hg
0.6598 -5.0567 1.6796 Hg
```

Space group: I-4m2

---

Record 3
## ZrHgPt (PBEsol)

Data for a relaxed structure of ZrHgPt.

```
ZrHgPt
1.0
-1.2185 0.8925 -3.2577
-1.9423 -2.1561 2.1148
-2.6343 4.5668 2.2365
Pt Zr Hg
1 1 1
Cartesian
-3.1505 2.8072 -0.0315 Pt
-2.6728 0.5446 1.1489 Zr
-2.6063 4.5181 2.2126 Hg
```

Space group: P3m1

---

Record 4
## Pu2SnHg (PBEsol)

Data for a relaxed structure of Pu2SnHg.

```
Pu2SnHg
1.0
-1.3436 -4.6006 -2.0425
-0.9508 -4.0593 3.1242
-4.8663 -1.7755 0.5560
Sn Hg Pu
1 1 2
Cartesian
0.0000 0.0000 0.0000 Sn
-3.5803 -5.2177 0.8188 Hg
-5.3705 -7.8266 1.2282 Pu
-1.7902 -2.6089 0.4094 Pu
```

Space group: Fm-3m

---

Table of formation energy from the elements (eV/atom), in record order: 0.0930; -0.3763; -0.3411; 0.0477
Table of density of states at the Fermi level (states/eV per cell), in record order: 1.5; 2.0; 2.6; 14.1